No. 1
# Er3TlTe (GGA-PBE, relaxed)
data_Er3TlTe
_symmetry_space_group_name_H-M 'P 1'
_symmetry_Int_Tables_number 1
_symmetry_space_group_name_Hall 'P 1'
_cell_length_a 11.919
_cell_length_b 3.905
_cell_length_c 12.567
_cell_angle_alpha 90.00
_cell_angle_beta 90.00
_cell_angle_gamma 90.00
loop_
_atom_site_label
_atom_site_fract_x
_atom_site_fract_y
_atom_site_fract_z
_atom_site_occupancy
Er1 0.065 0.250 0.133 1
Er2 0.137 0.750 0.551 1
Er3 0.220 0.250 0.777 1
Er4 0.280 0.750 0.277 1
Er5 0.363 0.250 0.051 1
Er6 0.435 0.750 0.633 1
Er7 0.565 0.250 0.367 1
Er8 0.637 0.750 0.949 1
Er9 0.720 0.250 0.723 1
Er10 0.780 0.750 0.223 1
Er11 0.863 0.250 0.449 1
Er12 0.935 0.750 0.867 1
Tl1 0.021 0.750 0.324 1
Tl2 0.479 0.250 0.824 1
Tl3 0.521 0.750 0.176 1
Tl4 0.979 0.250 0.676 1
Te1 0.170 0.750 0.969 1
Te2 0.330 0.250 0.469 1
Te3 0.670 0.750 0.531 1
Te4 0.830 0.250 0.031 1
# magnetic moment	0.00	μB/cell
# energy relative to the lowest polymorph listed for this composition	0	meV/atom
# space group	Pnma
# electronic total energy	-88.757	eV per cell
# D(E_F)	17.00	states/eV/cell
# uncorrected formation energy	-598.5	meV per atom

No. 2
# Er5Tl2Te2 (GGA-PBE, relaxed)
data_Er5Tl2Te2
_symmetry_space_group_name_H-M 'P 1'
_symmetry_Int_Tables_number 1
_symmetry_space_group_name_Hall 'P 1'
_cell_length_a 8.723
_cell_length_b 8.723
_cell_length_c 8.042
_cell_angle_alpha 90.00
_cell_angle_beta 90.00
_cell_angle_gamma 54.72
loop_
_atom_site_label
_atom_site_fract_x
_atom_site_fract_y
_atom_site_fract_z
_atom_site_occupancy
Er1 0.000 0.000 0.000 1
Er2 0.030 0.697 0.665 1
Er3 0.197 0.530 0.165 1
Er4 0.303 0.970 0.665 1
Er5 0.470 0.803 0.165 1
Er6 0.500 0.500 0.500 1
Er7 0.530 0.197 0.835 1
Er8 0.697 0.030 0.335 1
Er9 0.803 0.470 0.835 1
Er10 0.970 0.303 0.335 1
Tl1 0.135 0.865 0.367 1
Tl2 0.365 0.635 0.867 1
Tl3 0.635 0.365 0.133 1
Tl4 0.865 0.135 0.633 1
Te1 0.202 0.202 0.000 1
Te2 0.298 0.298 0.500 1
Te3 0.702 0.702 0.500 1
Te4 0.798 0.798 0.000 1
# magnetic moment	0.00	μB/cell
# space group	Cmce
# electronic total energy	-80.625	eV per cell
# D(E_F)	20.96	states/eV/cell
# uncorrected formation energy	-720.3	meV per atom

> The lowest D(E_F) belongs to which entry?

Er3TlTe

> Number 2 is which compound?

Er5Tl2Te2

Repeat the second record exactly.
# Er5Tl2Te2 (GGA-PBE, relaxed)
data_Er5Tl2Te2
_symmetry_space_group_name_H-M 'P 1'
_symmetry_Int_Tables_number 1
_symmetry_space_group_name_Hall 'P 1'
_cell_length_a 8.723
_cell_length_b 8.723
_cell_length_c 8.042
_cell_angle_alpha 90.00
_cell_angle_beta 90.00
_cell_angle_gamma 54.72
loop_
_atom_site_label
_atom_site_fract_x
_atom_site_fract_y
_atom_site_fract_z
_atom_site_occupancy
Er1 0.000 0.000 0.000 1
Er2 0.030 0.697 0.665 1
Er3 0.197 0.530 0.165 1
Er4 0.303 0.970 0.665 1
Er5 0.470 0.803 0.165 1
Er6 0.500 0.500 0.500 1
Er7 0.530 0.197 0.835 1
Er8 0.697 0.030 0.335 1
Er9 0.803 0.470 0.835 1
Er10 0.970 0.303 0.335 1
Tl1 0.135 0.865 0.367 1
Tl2 0.365 0.635 0.867 1
Tl3 0.635 0.365 0.133 1
Tl4 0.865 0.135 0.633 1
Te1 0.202 0.202 0.000 1
Te2 0.298 0.298 0.500 1
Te3 0.702 0.702 0.500 1
Te4 0.798 0.798 0.000 1
# magnetic moment	0.00	μB/cell
# space group	Cmce
# electronic total energy	-80.625	eV per cell
# D(E_F)	20.96	states/eV/cell
# uncorrected formation energy	-720.3	meV per atom

> The highest D(E_F) belongs to which entry?

Er5Tl2Te2